No. 1
Entry from Alexandria via LeMat-Bulk: AlPt2Rh after structural relaxation (PBE-GGA).

Results
symmetry = Cmmm
DFT formation energy = -0.592 eV/atom
crystal system = orthorhombic

Unit cell a=4.685 b=4.685 c=2.831 alpha=90.00 beta=90.00 gamma=108.27
Fractional coordinates of all 4 atoms:
Rh1 0.500 0.000 0.500
Pt1 0.500 0.500 0.000
Pt2 0.000 0.000 0.000
Al1 0.000 0.500 0.500

No. 2
Entry from Alexandria via LeMat-Bulk: Sb2OsIF after structural relaxation (PBE-GGA).

Results
symmetry = P4/mmm
formation energy without anion corrections = 0.8466 eV per atom
crystal system = tetragonal

Unit cell a=4.585 b=4.585 c=5.313 alpha=90.00 beta=90.00 gamma=90.00
Fractional coordinates of all 5 atoms:
Os1 0.500 0.500 0.500
Sb1 0.500 0.000 0.000
Sb2 0.000 0.500 0.000
F1 0.000 0.000 0.000
I1 0.000 0.000 0.500